Computed, not measured: NaAcMg2Sn2 after structural relaxation at the PBE level of DFT.

Structure (POSCAR):
```
NaAcMg2Sn2
1.0
4.957 0.000 0.000
-2.478 4.293 0.000
0.000 0.000 7.847
Mg Na Sn Ac
2 1 2 1
Direct
0.667 0.333 0.337
0.333 0.667 0.663
0.000 0.000 0.500
0.667 0.333 0.746
0.333 0.667 0.254
0.000 0.000 0.000
```

Computed properties:
The electronic total energy comes out at -19.27 eV/cell.